Entry 1:
Here is a relaxed structure of Cs3Dy2SnS6 from Alexandria. Energies are from PBE-GGA.

a b c (Å): 7.135 7.135 8.371
angles (deg): 98.15 98.15 120.01
Sites, in units of the cell vectors:
1 Cs 0.000 0.000 0.000
2 Cs 0.334 0.666 0.000
3 Cs 0.666 0.334 0.000
4 Dy 0.167 0.833 0.500
5 Dy 0.833 0.167 0.500
6 Sn 0.500 0.500 0.500
7 S 0.105 0.440 0.319
8 S 0.226 0.226 0.681
9 S 0.440 0.105 0.319
10 S 0.560 0.895 0.681
11 S 0.774 0.774 0.319
12 S 0.895 0.560 0.681

Results
SG: C2/m (12)
magnetic moment: 0.0 μB per cell
ΔE_f (raw): -1.44 eV/atom
density of states at the Fermi level: 0.41 states/eV per atom



Entry 2:
Here is a relaxed structure of CsTb4DyS8 from Alexandria. Energies are from PBE-GGA.

a b c (Å): 8.356 8.356 8.356
angles (deg): 60.19 60.19 60.19
Sites, in units of the cell vectors:
1 Cs 0.000 0.000 0.000
2 Tb 0.110 0.629 0.629
3 Tb 0.249 0.249 0.249
4 Tb 0.629 0.110 0.629
5 Tb 0.629 0.629 0.110
6 Dy 0.628 0.628 0.628
7 S 0.381 0.381 0.381
8 S 0.381 0.381 0.853
9 S 0.381 0.853 0.381
10 S 0.439 0.851 0.851
11 S 0.851 0.439 0.851
12 S 0.851 0.851 0.439
13 S 0.853 0.381 0.381
14 S 0.853 0.853 0.853

Results
SG: R3m (160)
magnetic moment: 0.0 μB per cell
ΔE_f (raw): -1.87 eV/atom
density of states at the Fermi level: 0.00 states/eV per atom



Entry 3:
Here is a relaxed structure of Cs2DyTe2S6 from Alexandria. Energies are from PBE-GGA.

a b c (Å): 6.877 6.877 9.182
angles (deg): 106.45 106.45 66.82
Sites, in units of the cell vectors:
1 Cs 0.197 0.197 0.124
2 Cs 0.803 0.803 0.876
3 Dy 0.000 0.000 0.500
4 Te 0.414 0.414 0.745
5 Te 0.586 0.586 0.255
6 S 0.189 0.745 0.250
7 S 0.245 0.245 0.514
8 S 0.255 0.811 0.750
9 S 0.745 0.189 0.250
10 S 0.755 0.755 0.486
11 S 0.811 0.255 0.750

Results
SG: C2/m (12)
magnetic moment: 0.0 μB per cell
ΔE_f (raw): -0.74 eV/atom
density of states at the Fermi level: 0.25 states/eV per atom



Entry 4:
Here is a relaxed structure of Cs2DyThS4 from Alexandria. Energies are from PBE-GGA.

a b c (Å): 7.157 4.145 8.453
angles (deg): 90.00 106.36 90.00
Sites, in units of the cell vectors:
1 Cs 0.000 0.000 0.000
2 Cs 0.500 0.500 0.000
3 Dy 0.000 0.500 0.500
4 Th 0.500 0.000 0.500
5 S 0.225 0.000 0.683
6 S 0.267 0.500 0.313
7 S 0.733 0.500 0.687
8 S 0.775 0.000 0.317

Results
SG: P2/m (10)
magnetic moment: 0.0 μB per cell
ΔE_f (raw): -1.74 eV/atom
density of states at the Fermi level: 0.50 states/eV per atom



Entry 5:
Here is a relaxed structure of Cs3Dy2ThS6 from Alexandria. Energies are from PBE-GGA.

a b c (Å): 7.145 7.145 8.442
angles (deg): 98.11 98.11 120.01
Sites, in units of the cell vectors:
1 Cs 0.000 0.000 0.000
2 Cs 0.333 0.667 0.000
3 Cs 0.667 0.333 0.000
4 Dy 0.167 0.833 0.500
5 Dy 0.833 0.167 0.500
6 Th 0.500 0.500 0.500
7 S 0.103 0.439 0.316
8 S 0.225 0.225 0.684
9 S 0.439 0.103 0.316
10 S 0.561 0.897 0.684
11 S 0.775 0.775 0.316
12 S 0.897 0.561 0.684

Results
SG: C2/m (12)
magnetic moment: 0.0 μB per cell
ΔE_f (raw): -1.77 eV/atom
density of states at the Fermi level: 0.32 states/eV per atom



Entry 6:
Here is a relaxed structure of CsDyTiS4 from Alexandria. Energies are from PBE-GGA.

a b c (Å): 6.634 6.876 9.559
angles (deg): 90.00 108.67 90.00
Sites, in units of the cell vectors:
1 Cs 0.233 0.250 0.441
2 Cs 0.767 0.750 0.559
3 Dy 0.292 0.250 0.957
4 Dy 0.708 0.750 0.043
5 Ti 0.261 0.750 0.156
6 Ti 0.739 0.250 0.844
7 S 0.043 0.750 0.927
8 S 0.056 0.750 0.303
9 S 0.500 0.001 0.188
10 S 0.500 0.499 0.188
11 S 0.500 0.501 0.812
12 S 0.500 0.999 0.812
13 S 0.944 0.250 0.697
14 S 0.957 0.250 0.073

Results
SG: P2_1/m (11)
magnetic moment: 0.0 μB per cell
ΔE_f (raw): -1.62 eV/atom
density of states at the Fermi level: 0.00 states/eV per atom



Entry 7:
Here is a relaxed structure of Cs2DyTiS4 from Alexandria. Energies are from PBE-GGA.

a b c (Å): 14.883 13.330 8.006
angles (deg): 84.55 63.08 32.38
Sites, in units of the cell vectors:
1 Cs 0.053 0.053 0.697
2 Cs 0.303 0.303 0.947
3 Cs 0.697 0.697 0.053
4 Cs 0.947 0.947 0.303
5 Dy 0.125 0.125 0.125
6 Dy 0.875 0.875 0.875
7 Ti 0.375 0.375 0.375
8 Ti 0.625 0.625 0.625
9 S 0.011 0.640 0.550
10 S 0.299 0.550 0.640
11 S 0.360 0.989 0.701
12 S 0.450 0.701 0.989
13 S 0.550 0.299 0.011
14 S 0.640 0.011 0.299
15 S 0.701 0.450 0.360
16 S 0.989 0.360 0.450

Results
SG: Fddd (70)
magnetic moment: 2.1 μB per cell
ΔE_f (raw): -1.41 eV/atom
density of states at the Fermi level: 0.38 states/eV per atom



Entry 8:
Here is a relaxed structure of Cs4Dy3TiS8 from Alexandria. Energies are from PBE-GGA.

a b c (Å): 9.273 9.273 9.273
angles (deg): 51.41 51.41 51.41
Sites, in units of the cell vectors:
1 Cs 0.000 0.000 0.000
2 Cs 0.000 0.500 0.500
3 Cs 0.500 0.000 0.500
4 Cs 0.500 0.500 0.000
5 Dy 0.000 0.000 0.500
6 Dy 0.000 0.500 0.000
7 Dy 0.500 0.000 0.000
8 Ti 0.500 0.500 0.500
9 S 0.228 0.228 0.228
10 S 0.244 0.716 0.716
11 S 0.284 0.284 0.756
12 S 0.284 0.756 0.284
13 S 0.716 0.244 0.716
14 S 0.716 0.716 0.244
15 S 0.756 0.284 0.284
16 S 0.772 0.772 0.772

Results
SG: R-3m (166)
magnetic moment: 1.0 μB per cell
ΔE_f (raw): -1.65 eV/atom
density of states at the Fermi level: 0.37 states/eV per atom



Entry 9:
Here is a relaxed structure of Cs2DyTlS4 from Alexandria. Energies are from PBE-GGA.

a b c (Å): 8.722 8.722 8.529
angles (deg): 116.97 116.97 93.59
Sites, in units of the cell vectors:
1 Cs 0.000 0.000 0.000
2 Cs 0.000 0.000 0.500
3 Cs 0.000 0.500 0.000
4 Cs 0.500 0.000 0.500
5 Dy 0.500 0.500 0.000
6 Dy 0.500 0.500 0.500
7 Tl 0.000 0.500 0.500
8 Tl 0.500 0.000 0.000
9 S 0.248 0.703 0.517
10 S 0.289 0.313 0.561
11 S 0.297 0.752 0.983
12 S 0.313 0.289 0.061
13 S 0.687 0.711 0.939
14 S 0.703 0.248 0.017
15 S 0.711 0.687 0.439
16 S 0.752 0.297 0.483

Results
SG: C2/c (15)
magnetic moment: 0.0 μB per cell
ΔE_f (raw): -1.06 eV/atom
density of states at the Fermi level: 0.11 states/eV per atom



Entry 10:
Here is a relaxed structure of Cs3DyTm2S6 from Alexandria. Energies are from PBE-GGA.

a b c (Å): 7.050 7.050 8.390
angles (deg): 98.05 98.05 120.00
Sites, in units of the cell vectors:
1 Cs 0.000 0.000 0.000
2 Cs 0.334 0.666 0.000
3 Cs 0.666 0.334 0.000
4 Dy 0.500 0.500 0.500
5 Tm 0.167 0.833 0.500
6 Tm 0.833 0.167 0.500
7 S 0.103 0.440 0.320
8 S 0.223 0.223 0.680
9 S 0.440 0.103 0.320
10 S 0.560 0.897 0.680
11 S 0.777 0.777 0.320
12 S 0.897 0.560 0.680

Results
SG: C2/m (12)
magnetic moment: 0.0 μB per cell
ΔE_f (raw): -1.83 eV/atom
density of states at the Fermi level: 0.00 states/eV per atom



Entry 11:
Here is a relaxed structure of Cs3Dy2TmS6 from Alexandria. Energies are from PBE-GGA.

a b c (Å): 7.081 7.081 8.398
angles (deg): 98.08 98.08 120.00
Sites, in units of the cell vectors:
1 Cs 0.000 0.000 0.000
2 Cs 0.333 0.667 0.000
3 Cs 0.667 0.333 0.000
4 Dy 0.167 0.833 0.500
5 Dy 0.833 0.167 0.500
6 Tm 0.500 0.500 0.500
7 S 0.110 0.440 0.319
8 S 0.230 0.230 0.681
9 S 0.440 0.110 0.319
10 S 0.560 0.890 0.681
11 S 0.770 0.770 0.319
12 S 0.890 0.560 0.681

Results
SG: C2/m (12)
magnetic moment: 0.0 μB per cell
ΔE_f (raw): -1.83 eV/atom
density of states at the Fermi level: 0.00 states/eV per atom



Entry 12:
Here is a relaxed structure of Cs3DyU2S6 from Alexandria. Energies are from PBE-GGA.

a b c (Å): 7.104 7.104 8.444
angles (deg): 98.06 98.06 120.00
Sites, in units of the cell vectors:
1 Cs 0.000 0.000 0.000
2 Cs 0.334 0.666 0.000
3 Cs 0.666 0.334 0.000
4 Dy 0.500 0.500 0.500
5 U 0.167 0.833 0.500
6 U 0.833 0.167 0.500
7 S 0.105 0.439 0.318
8 S 0.227 0.227 0.682
9 S 0.439 0.105 0.318
10 S 0.561 0.895 0.682
11 S 0.773 0.773 0.318
12 S 0.895 0.561 0.682

Results
SG: C2/m (12)
magnetic moment: 6.0 μB per cell
ΔE_f (raw): -1.49 eV/atom
density of states at the Fermi level: 0.62 states/eV per atom



Q: Which formula does entry 7 have?
A: Cs2DyTiS4



Q: magnetic moment of number 9 (Cs2DyTlS4)?
A: 0.0 μB per cell